(1)
Entry from Alexandria: NdSm3 at its PBEsol-relaxed geometry (SCAN).

Cell and atoms, written as POSCAR:
```
NdSm3
1.0
5.032 0.000 0.000
0.000 5.032 0.000
0.000 0.000 5.032
Sm Nd
3 1
Cartesian
0.000 2.516 2.516
2.516 2.516 0.000
2.516 0.000 2.516
0.000 0.000 0.000
```

Calculated formation energy ... 4 kJ/mol of formula units
Crystal system ... cubic
Energy above the most stable polymorph in this dataset ... 0.000 eV/atom

=====

(2)
Entry from Alexandria: CuSb2P at its PBEsol-relaxed geometry (SCAN).

Cell and atoms, written as POSCAR:
```
CuSb2P
1.0
-3.966 1.438 -2.234
-0.579 -4.280 2.023
1.163 2.936 3.574
Sb Cu P
2 1 1
Cartesian
0.582 1.468 1.787
-0.289 -2.140 1.012
-1.983 0.719 -1.117
-1.691 0.047 1.682
```

Formation energy from raw total energies ... 306 meV per atom
Crystal system ... tetragonal

=====

(3)
Entry from Alexandria: BeW at its PBEsol-relaxed geometry (SCAN).

Cell and atoms, written as POSCAR:
```
BeW
1.0
4.180 0.000 0.000
2.090 3.620 0.000
2.090 1.207 3.413
W Be
2 2
Cartesian
2.090 1.207 0.853
0.000 0.000 0.000
6.270 3.620 2.560
4.180 2.413 1.707
```

Calculated formation energy ... 58 kJ/mol of formula units
Crystal system ... cubic
Energy above the most stable polymorph in this dataset ... 0.484 eV/atom

=====

(4)
Entry from Alexandria: Mn2H2Ru at its PBEsol-relaxed geometry (SCAN).

Cell and atoms, written as POSCAR:
```
Mn2H2Ru
1.0
2.655 0.000 0.000
0.000 2.655 0.000
-1.327 -1.327 5.733
Mn H Ru
2 2 1
Cartesian
1.327 1.327 1.741
0.000 0.000 3.992
1.327 0.000 2.866
0.000 1.327 2.866
0.000 0.000 0.000
```

Electronic total energy ... -78.38 eV per cell
Crystal system ... tetragonal

=====

(5)
Entry from Alexandria: SrIrRu2 at its PBEsol-relaxed geometry (SCAN).

Cell and atoms, written as POSCAR:
```
SrIrRu2
1.0
4.164 0.000 0.000
0.000 4.164 0.000
-2.082 -2.082 3.844
Ru Ir Sr
2 1 1
Cartesian
0.000 0.000 0.000
2.082 0.000 1.922
0.000 2.082 1.922
2.082 2.082 0.000
```

Calculated formation energy ... 321 kJ/mol of formula units
Crystal system ... tetragonal
Energy above the most stable polymorph in this dataset ... 0.362 eV/atom

=====

(6)
Entry from Alexandria: Rb2TlAsI6 at its PBEsol-relaxed geometry (SCAN).

Cell and atoms, written as POSCAR:
```
Rb2TlAsI6
1.0
8.482 0.000 0.000
4.241 7.346 0.000
4.241 2.449 6.926
Rb Tl I As
2 1 6 1
Cartesian
12.723 7.346 5.194
4.241 2.449 1.731
8.482 4.897 3.463
6.245 6.189 1.636
8.482 7.481 5.290
10.720 6.189 1.636
8.482 2.313 1.636
10.720 3.605 5.290
6.245 3.605 5.290
0.000 0.000 0.000
```

Formation energy from raw total energies ... -841 meV per atom
Crystal system ... cubic

=====

(7)
Entry from Alexandria: Al2FeRh at its PBEsol-relaxed geometry (SCAN).

Cell and atoms, written as POSCAR:
```
Al2FeRh
1.0
-1.202 2.537 -0.750
-3.699 -1.593 0.543
2.519 0.795 4.284
Al Rh Fe
2 1 1
Cartesian
-2.384 1.717 4.004
-0.565 1.938 1.835
-1.816 -0.173 2.327
0.068 1.264 4.171
```

Calculated formation energy ... -259 kJ/mol of formula units
Crystal system ... orthorhombic

=====

(8)
Entry from Alexandria: Ba3C at its PBEsol-relaxed geometry (SCAN).

Cell and atoms, written as POSCAR:
```
Ba3C
1.0
-5.009 -2.442 -1.464
1.115 -4.409 3.539
-2.620 2.793 4.305
C Ba
1 3
Cartesian
0.000 0.000 0.000
0.557 -2.204 1.769
-1.310 1.397 2.153
-2.505 -1.221 -0.732
```

Calculated formation energy ... 222 kJ/mol of formula units
Crystal system ... cubic
Energy above the most stable polymorph in this dataset ... 0.195 eV/atom

=====

(9)
Entry from Alexandria: Be2TeH2 at its PBEsol-relaxed geometry (SCAN).

Cell and atoms, written as POSCAR:
```
Be2TeH2
1.0
3.297 0.000 0.000
0.000 3.297 0.000
-1.648 -1.648 5.341
H Be Te
2 2 1
Cartesian
0.000 1.648 2.670
1.648 0.000 2.670
0.000 0.000 2.348
1.648 1.648 2.992
0.000 0.000 0.000
```

Electronic total energy ... -51.15 eV per cell
Crystal system ... tetragonal

=====

(10)
Entry from Alexandria: CuTeAu2 at its PBEsol-relaxed geometry (SCAN).

Cell and atoms, written as POSCAR:
```
CuTeAu2
1.0
4.118 0.000 0.000
0.000 4.118 0.000
-2.059 -2.059 4.198
Te Au Cu
1 2 1
Cartesian
0.000 2.059 2.099
2.059 0.000 2.099
0.000 0.000 0.000
2.059 2.059 0.000
```

Formation energy from raw total energies ... 178 meV per atom
Crystal system ... tetragonal

=====

(11)
Entry from Alexandria: Ta2CdHg at its PBEsol-relaxed geometry (SCAN).

Cell and atoms, written as POSCAR:
```
Ta2CdHg
1.0
-2.700 -0.255 1.041
3.038 -2.774 3.145
0.404 4.783 2.223
Cd Ta Hg
1 2 1
Cartesian
1.890 -0.437 4.795
0.036 0.099 0.116
-0.452 -0.462 2.768
1.158 2.042 3.506
```

Calculated formation energy ... 134 kJ/mol of formula units
Crystal system ... monoclinic
Energy above the most stable polymorph in this dataset ... 0.086 eV/atom

=====

(12)
Entry from Alexandria: TaNiIr2 at its PBEsol-relaxed geometry (SCAN).

Cell and atoms, written as POSCAR:
```
TaNiIr2
1.0
3.884 0.000 0.000
0.000 3.884 0.000
-1.942 -1.942 3.714
Ir Ni Ta
2 1 1
Cartesian
0.000 1.942 1.857
1.942 0.000 1.857
0.000 0.000 0.000
1.942 1.942 0.000
```

Calculated formation energy ... -218 kJ/mol of formula units
Crystal system ... tetragonal

=====

(13)
Entry from Alexandria: RbY3Pt at its PBEsol-relaxed geometry (SCAN).

Cell and atoms, written as POSCAR:
```
RbY3Pt
1.0
5.547 0.000 0.000
0.000 5.547 0.000
0.000 0.000 5.547
Y Pt Rb
3 1 1
Cartesian
0.000 2.774 0.000
0.000 0.000 2.774
2.774 0.000 0.000
0.000 0.000 0.000
2.774 2.774 2.774
```

Calculated formation energy ... -165 kJ/mol of formula units
Crystal system ... cubic

=====

(14)
Entry from Alexandria: SiTe2W at its PBEsol-relaxed geometry (SCAN).

Cell and atoms, written as POSCAR:
```
SiTe2W
1.0
3.288 0.000 0.000
1.644 2.847 0.000
1.644 0.949 9.247
Te Si W
2 1 1
Cartesian
1.644 0.949 2.950
1.644 0.949 8.692
4.932 2.847 6.615
3.288 1.898 4.860
```

Formation energy from raw total energies ... 317 meV per atom
Crystal system ... trigonal

=====

(15)
Entry from Alexandria: Zn3In2O6 at its PBEsol-relaxed geometry (SCAN).

Cell and atoms, written as POSCAR:
```
Zn3In2O6
1.0
3.411 0.000 0.000
1.705 2.954 0.000
1.705 0.985 13.925
Zn O In
3 6 2
Cartesian
1.705 0.985 3.001
5.116 2.954 5.487
5.116 2.954 10.965
5.116 2.954 3.509
5.116 2.954 12.901
1.705 0.985 1.034
1.705 0.985 10.381
1.705 0.985 5.999
5.116 2.954 8.115
1.705 0.985 8.213
5.116 2.954 0.024
```

Formation energy from raw total energies ... -1616 meV per atom
Crystal system ... trigonal
Energy above the most stable polymorph in this dataset ... 0.043 eV/atom

=====

(16)
Entry from Alexandria: Zr2ScCo at its PBEsol-relaxed geometry (SCAN).

Cell and atoms, written as POSCAR:
```
Zr2ScCo
1.0
-0.844 3.057 0.056
-2.845 -0.764 -1.175
-2.624 -0.852 6.906
Zr Sc Co
2 1 1
Cartesian
-2.622 0.894 1.486
-0.025 -0.008 0.067
-3.685 0.549 4.285
-1.293 -0.420 3.403
```

Calculated formation energy ... -66 kJ/mol of formula units
Crystal system ... tetragonal
Energy above the most stable polymorph in this dataset ... 0.000 eV/atom

=====

(17)
Entry from Alexandria: KCuRu3 at its PBEsol-relaxed geometry (SCAN).

Cell and atoms, written as POSCAR:
```
KCuRu3
1.0
-0.657 -2.031 -3.891
4.000 1.342 -1.376
1.806 -3.711 1.632
Ru Cu K
3 1 1
Cartesian
-0.329 -1.016 -1.945
0.903 -1.855 0.816
2.000 0.671 -0.688
2.575 -2.200 -1.817
0.000 0.000 0.000
```

Calculated formation energy ... 1527 kJ/mol of formula units
Crystal system ... cubic

=====

(18)
Entry from Alexandria: LaYZn at its PBEsol-relaxed geometry (SCAN).

Cell and atoms, written as POSCAR:
```
LaYZn
1.0
3.620 0.000 0.000
0.000 3.620 0.000
-1.810 -1.810 6.130
Y La Zn
1 1 1
Cartesian
1.810 1.810 2.395
1.810 1.810 5.902
0.000 0.000 3.962
```

Calculated formation energy ... -76 kJ/mol of formula units
Crystal system ... tetragonal
Energy above the most stable polymorph in this dataset ... 0.000 eV/atom

=====

(19)
Entry from Alexandria: MnRu3Pt at its PBEsol-relaxed geometry (SCAN).

Cell and atoms, written as POSCAR:
```
MnRu3Pt
1.0
4.274 0.000 0.000
0.000 4.274 0.000
0.000 0.000 4.274
Ru Pt Mn
3 1 1
Cartesian
0.000 0.000 2.137
0.000 2.137 0.000
2.137 0.000 0.000
2.137 2.137 2.137
0.000 0.000 0.000
```

Calculated formation energy ... 666 kJ/mol of formula units
Crystal system ... cubic

=====

(20)
Entry from Alexandria: Li3Nb4O12 at its PBEsol-relaxed geometry (SCAN).

Cell and atoms, written as POSCAR:
```
Li3Nb4O12
1.0
-0.508 -3.382 3.907
3.722 -0.386 3.600
-3.197 5.295 7.617
Nb O Li
4 12 3
Cartesian
0.048 1.092 11.302
-3.110 5.162 7.513
0.041 0.714 7.523
0.010 0.374 3.775
1.894 0.946 7.083
-0.277 2.755 7.147
-0.068 4.372 9.388
-2.998 3.395 8.195
1.817 -0.142 4.092
-1.935 0.835 8.223
0.457 1.435 9.451
0.238 0.548 1.890
0.125 -1.079 8.201
-0.630 0.330 5.767
-1.794 2.023 10.957
-0.637 -1.417 3.677
1.870 -1.705 9.117
-1.330 2.818 9.166
-1.378 2.504 5.438
```

Formation energy from raw total energies ... -2544 meV per atom
Crystal system ... trigonal

=====

| no. | V (Å³ per cell) |
| --- | --- |
| 1 | 127.4 |
| 2 | 83.3 |
| 3 | 51.7 |
| 4 | 40.4 |
| 5 | 66.6 |
| 6 | 431.5 |
| 7 | 51.6 |
| 8 | 191.3 |
| 9 | 58.0 |
| 10 | 71.2 |
| 11 | 74.9 |
| 12 | 56.0 |
| 13 | 170.7 |
| 14 | 86.6 |
| 15 | 140.3 |
| 16 | 74.8 |
| 17 | 87.4 |
| 18 | 80.3 |
| 19 | 78.1 |
| 20 | 218.1 |